Entry 1:
# CeSm3Tm2

A geometry-optimized CeSm3Tm2 structure (PBE-GGA, Alexandria).

a b c (Å): 6.938 16.002 3.506
angles (deg): 90.00 90.00 90.00
Sites, in units of the cell vectors:
Ce 0.000 0.000 0.000
Ce 0.500 0.500 0.500
Sm 0.000 0.500 0.500
Sm 0.248 0.158 0.500
Sm 0.252 0.658 0.000
Sm 0.500 0.000 0.000
Sm 0.748 0.342 0.000
Sm 0.752 0.842 0.500
Tm 0.247 0.847 0.500
Tm 0.253 0.347 0.000
Tm 0.747 0.653 0.000
Tm 0.753 0.153 0.500

D(E_F) = 21.8 states/eV per cell
ΔH_f (0 K) = 0.176 eV/atom
ρ = 7.9 Mg/m³

***

Entry 2:
# Ce2SmTm

A geometry-optimized Ce2SmTm structure (PBE-GGA, Alexandria).

a b c (Å): 3.472 3.472 10.134
angles (deg): 90.00 90.00 90.00
Sites, in units of the cell vectors:
Ce 0.000 0.000 0.246
Ce 0.000 0.000 0.754
Sm 0.500 0.500 0.500
Tm 0.500 0.500 0.000

D(E_F) = 10.4 states/eV per cell
ΔH_f (0 K) = 0.111 eV/atom
Distance to the lowest polymorph of the same formula = 16 meV/atom
ρ = 8.2 Mg/m³

***

Entry 3:
# Ce2Sm5Tm6

A geometry-optimized Ce2Sm5Tm6 structure (PBE-GGA, Alexandria).

a b c (Å): 11.386 20.732 3.534
angles (deg): 90.00 90.00 90.00
Sites, in units of the cell vectors:
Ce 0.190 0.236 0.000
Ce 0.310 0.736 0.000
Ce 0.690 0.264 0.000
Ce 0.810 0.764 0.000
Sm 0.000 0.500 0.500
Sm 0.061 0.794 0.500
Sm 0.190 0.078 0.500
Sm 0.310 0.578 0.500
Sm 0.439 0.294 0.500
Sm 0.500 0.000 0.500
Sm 0.561 0.706 0.500
Sm 0.690 0.422 0.500
Sm 0.810 0.922 0.500
Sm 0.939 0.206 0.500
Tm 0.063 0.647 0.000
Tm 0.083 0.938 0.000
Tm 0.186 0.376 0.500
Tm 0.314 0.876 0.500
Tm 0.417 0.438 0.000
Tm 0.437 0.147 0.000
Tm 0.563 0.853 0.000
Tm 0.583 0.562 0.000
Tm 0.686 0.124 0.500
Tm 0.814 0.624 0.500
Tm 0.917 0.062 0.000
Tm 0.937 0.353 0.000

D(E_F) = 45.7 states/eV per cell
ΔH_f (0 K) = 0.125 eV/atom
ρ = 8.1 Mg/m³

***

Entry 4:
# Ce2SmTm

A geometry-optimized Ce2SmTm structure (PBE-GGA, Alexandria).

a b c (Å): 5.641 5.641 5.641
angles (deg): 60.00 60.00 60.00
Sites, in units of the cell vectors:
Ce 0.250 0.250 0.250
Ce 0.750 0.750 0.750
Sm 0.000 0.000 0.000
Tm 0.500 0.500 0.500

D(E_F) = 16.2 states/eV per cell
ΔH_f (0 K) = 0.243 eV/atom
Distance to the lowest polymorph of the same formula = 148 meV/atom
ρ = 7.8 Mg/m³

***

Entry 5:
# CeSm2Tm

A geometry-optimized CeSm2Tm structure (PBE-GGA, Alexandria).

a b c (Å): 5.700 5.700 5.700
angles (deg): 60.00 60.00 60.00
Sites, in units of the cell vectors:
Ce 0.000 0.000 0.000
Sm 0.250 0.250 0.250
Sm 0.750 0.750 0.750
Tm 0.500 0.500 0.500

D(E_F) = 10.0 states/eV per cell
ΔH_f (0 K) = 0.195 eV/atom
Distance to the lowest polymorph of the same formula = 132 meV/atom
ρ = 7.7 Mg/m³

***

Entry 6:
# CeSm12Tm7

A geometry-optimized CeSm12Tm7 structure (PBE-GGA, Alexandria).

a b c (Å): 11.438 11.438 11.438
angles (deg): 116.92 116.92 116.92
Sites, in units of the cell vectors:
Ce 0.000 0.000 0.000
Sm 0.069 0.423 0.423
Sm 0.087 0.500 0.913
Sm 0.087 0.913 0.500
Sm 0.423 0.069 0.423
Sm 0.423 0.423 0.069
Sm 0.500 0.087 0.913
Sm 0.500 0.913 0.087
Sm 0.577 0.577 0.931
Sm 0.577 0.931 0.577
Sm 0.913 0.087 0.500
Sm 0.913 0.500 0.087
Sm 0.931 0.577 0.577
Tm 0.121 0.121 0.362
Tm 0.121 0.362 0.121
Tm 0.362 0.121 0.121
Tm 0.500 0.500 0.500
Tm 0.638 0.879 0.879
Tm 0.879 0.638 0.879
Tm 0.879 0.879 0.638

D(E_F) = 33.0 states/eV per cell
ΔH_f (0 K) = 0.265 eV/atom
Distance to the lowest polymorph of the same formula = 15 meV/atom
ρ = 7.8 Mg/m³

***

Entry 7:
# Ce2SmTm

A geometry-optimized Ce2SmTm structure (PBE-GGA, Alexandria).

a b c (Å): 12.510 12.510 12.510
angles (deg): 15.39 15.39 15.39
Sites, in units of the cell vectors:
Ce 0.084 0.084 0.084
Ce 0.916 0.916 0.916
Sm 0.500 0.500 0.500
Tm 0.000 0.000 0.000

D(E_F) = 10.7 states/eV per cell
ΔH_f (0 K) = 0.239 eV/atom
Distance to the lowest polymorph of the same formula = 144 meV/atom
ρ = 8.3 Mg/m³

***

Entry 8:
# CeSm2Tm8

A geometry-optimized CeSm2Tm8 structure (PBE-GGA, Alexandria).

a b c (Å): 10.045 10.045 5.509
angles (deg): 92.64 92.64 39.94
Sites, in units of the cell vectors:
Ce 0.000 0.000 0.000
Sm 0.283 0.283 0.752
Sm 0.717 0.717 0.248
Tm 0.134 0.605 0.268
Tm 0.185 0.185 0.234
Tm 0.395 0.866 0.732
Tm 0.453 0.453 0.763
Tm 0.547 0.547 0.237
Tm 0.605 0.134 0.268
Tm 0.815 0.815 0.766
Tm 0.866 0.395 0.732

D(E_F) = 21.8 states/eV per cell
ΔH_f (0 K) = 0.178 eV/atom
ρ = 8.3 Mg/m³